An optimized crystal structure of BIr2W. Source: Alexandria, functional PBE.

Summary:
The total energy is -8.964 eV/atom. Its density of states at the Fermi level is 11.54 states/eV/cell.

Cell lengths 5.134, 5.134, 10.474 Å; angles 90.00, 90.00, 90.00 degrees
Space group I-42d (No. 122)
Unique sites:
B (0.000, 0.000, 0.000)
Ir (0.183, 0.250, 0.125)
W (0.000, 0.000, 0.500)